Computed, not measured: a relaxed Sr2AlSn3Au4 crystal at the GGA-PBE level of DFT.

Cell and atoms, written as extended XYZ:
```
10
Lattice="4.6133 0.0000 0.0000 0.0000 4.6133 0.0000 0.0000 0.0000 11.5793" Properties=species:S:1:pos:R:3 pbc="T T T"
Sr 0.0000 2.3066 2.8428
Sr 2.3066 0.0000 8.7365
Al 0.0000 0.0000 5.7897
Sn 0.0000 2.3066 10.0039
Sn 2.3066 0.0000 1.5755
Sn 2.3066 2.3066 5.7897
Au 0.0000 0.0000 0.0000
Au 0.0000 2.3066 7.2624
Au 2.3066 0.0000 4.3169
Au 2.3066 2.3066 0.0000
```

Properties
N(E_F) ... 3.14 states/eV per cell
ΔE_f ... -5.61 eV per formula unit
Energy ... -37.83 eV per formula unit
Size of the total moment ... 0.00 μB/f.u.